No. 1
First-principles (PBE) data for an optimized crystal structure of ReIr2Os, as listed in the Alexandria database.

Properties
Space-group type   Cm (8)
Formation enthalpy at 0 K   -49 meV per atom

Unit cell a=4.745 b=4.745 c=4.764 alpha=99.28 beta=99.28 gamma=33.37
Fractional coordinates of all 4 atoms:
Re: 0.000 0.000 0.000
Ir: 0.252 0.252 0.757
Ir: 0.497 0.497 0.495
Os: 0.748 0.748 0.255



No. 2
First-principles (PBE) data for an optimized crystal structure of Li2DyMg5, as listed in the Alexandria database.

Properties
Space-group type   I4/mcm (140)
Formation enthalpy at 0 K   64 meV per atom

Unit cell a=8.348 b=8.348 c=8.348 alpha=124.90 beta=124.90 gamma=81.70
Fractional coordinates of all 16 atoms:
Li: 0.154 0.654 0.808
Li: 0.346 0.154 0.500
Li: 0.654 0.846 0.500
Li: 0.846 0.346 0.192
Dy: 0.250 0.250 0.000
Dy: 0.750 0.750 0.000
Mg: 0.000 0.000 0.000
Mg: 0.004 0.796 0.500
Mg: 0.204 0.704 0.209
Mg: 0.296 0.504 0.500
Mg: 0.496 0.996 0.791
Mg: 0.500 0.500 0.000
Mg: 0.504 0.004 0.209
Mg: 0.704 0.496 0.500
Mg: 0.796 0.296 0.791
Mg: 0.996 0.204 0.500



No. 3
First-principles (PBE) data for an optimized crystal structure of Y2PuN, as listed in the Alexandria database.

Properties
ΔE_f (raw)   -0.152 eV/atom
Space-group type   P4/mmm (123)

Unit cell a=3.116 b=3.116 c=8.743 alpha=90.00 beta=90.00 gamma=90.00
Fractional coordinates of all 4 atoms:
Y: 0.000 0.000 0.164
Y: 0.000 0.000 0.836
Pu: 0.500 0.500 0.500
N: 0.500 0.500 0.000



No. 4
First-principles (PBE) data for an optimized crystal structure of TiGaFe2P, as listed in the Alexandria database.

Properties
Space-group type   P4/mmm (123)
Formation enthalpy at 0 K   922 meV per atom

Unit cell a=4.339 b=4.339 c=4.621 alpha=90.00 beta=90.00 gamma=90.00
Fractional coordinates of all 5 atoms:
Ti: 0.000 0.000 0.000
Ga: 0.000 0.000 0.500
Fe: 0.000 0.500 0.500
Fe: 0.500 0.000 0.500
P: 0.500 0.500 0.000



No. 5
First-principles (PBE) data for an optimized crystal structure of Zr2UP3, as listed in the Alexandria database.

Properties
Space-group type   Fddd (70)
Formation enthalpy at 0 K   -1270 meV per atom

Unit cell a=12.586 b=12.001 c=6.583 alpha=79.44 beta=69.62 gamma=30.94
Fractional coordinates of all 24 atoms:
Zr: 0.044 0.044 0.206
Zr: 0.124 0.124 0.626
Zr: 0.206 0.206 0.044
Zr: 0.374 0.374 0.876
Zr: 0.626 0.626 0.124
Zr: 0.794 0.794 0.956
Zr: 0.876 0.876 0.374
Zr: 0.956 0.956 0.794
U: 0.292 0.292 0.458
U: 0.458 0.458 0.292
U: 0.542 0.542 0.708
U: 0.708 0.708 0.542
P: 0.043 0.541 0.202
P: 0.121 0.629 0.629
P: 0.202 0.713 0.043
P: 0.287 0.798 0.459
P: 0.371 0.879 0.879
P: 0.459 0.957 0.287
P: 0.541 0.043 0.713
P: 0.629 0.121 0.121
P: 0.713 0.202 0.541
P: 0.798 0.287 0.957
P: 0.879 0.371 0.371
P: 0.957 0.459 0.798



No. 6
First-principles (PBE) data for an optimized crystal structure of PuGe3Os3, as listed in the Alexandria database.

Properties
Space-group type   Pm-3n (223)
Formation enthalpy at 0 K   557 meV per atom

Unit cell a=6.747 b=6.747 c=6.747 alpha=90.00 beta=90.00 gamma=90.00
Fractional coordinates of all 14 atoms:
Pu: 0.000 0.000 0.000
Pu: 0.500 0.500 0.500
Ge: 0.000 0.250 0.500
Ge: 0.000 0.750 0.500
Ge: 0.250 0.500 0.000
Ge: 0.500 0.000 0.250
Ge: 0.500 0.000 0.750
Ge: 0.750 0.500 0.000
Os: 0.000 0.500 0.250
Os: 0.000 0.500 0.750
Os: 0.250 0.000 0.500
Os: 0.500 0.250 0.000
Os: 0.500 0.750 0.000
Os: 0.750 0.000 0.500